First-principles (PBE) data for a relaxed structure of Li6AlGa2, as listed in Alexandria via LeMat-Bulk.

Calculated values
- Polymorph energy (0 for the lowest one): 33 meV per atom
- N(E_F): 2.2 states/eV/f.u.
- Total magnetic moment: 0.00 μB per cell
- Final energy: -2.566 eV per atom

abc: 8.1840 8.2262 4.2670
angles: 90.00 90.00 90.00
With the nearest neighbours (Å) after each atom.
Sites, in units of the cell vectors:
Li (0.0150, 0.1712, 0.0000)  1 Al 2.71, 6 Li 2.73-2.83, 3 Ga 2.79-2.99
Li (0.1526, 0.6988, 0.5000)  4 Ga 2.73-2.90, 6 Li 2.73-2.89, 2 Al 2.96
Li (0.1770, 0.0344, 0.5000)  1 Al 2.66, 3 Ga 2.74-2.80, 6 Li 2.75-2.95
Li (0.3230, 0.5344, 0.0000)  1 Al 2.66, 3 Ga 2.74-2.80, 6 Li 2.75-2.95
Li (0.3474, 0.1988, 0.0000)  4 Ga 2.73-2.90, 6 Li 2.73-2.89, 2 Al 2.96
Li (0.4850, 0.6712, 0.5000)  1 Al 2.71, 6 Li 2.73-2.83, 3 Ga 2.79-2.99
Li (0.5150, 0.3288, 0.5000)  1 Al 2.71, 6 Li 2.73-2.83, 3 Ga 2.79-2.99
Li (0.6526, 0.8012, 0.0000)  4 Ga 2.73-2.90, 6 Li 2.73-2.89, 2 Al 2.96
Li (0.6770, 0.4656, 0.0000)  1 Al 2.66, 3 Ga 2.74-2.80, 6 Li 2.75-2.95
Li (0.8230, 0.9656, 0.5000)  1 Al 2.66, 3 Ga 2.74-2.80, 6 Li 2.75-2.95
Li (0.8474, 0.3012, 0.5000)  4 Ga 2.73-2.90, 6 Li 2.73-2.89, 2 Al 2.96
Li (0.9850, 0.8288, 0.0000)  1 Al 2.71, 6 Li 2.73-2.83, 3 Ga 2.79-2.99
Al (0.0000, 0.5000, 0.0000)  8 Li 2.66-2.96, 4 Ga 2.80
Al (0.5000, 0.0000, 0.5000)  8 Li 2.66-2.96, 4 Ga 2.80
Ga (0.1768, 0.3679, 0.5000)  10 Li 2.73-2.99, 2 Al 2.80
Ga (0.3232, 0.8679, 0.0000)  10 Li 2.73-2.99, 2 Al 2.80
Ga (0.6768, 0.1321, 0.0000)  10 Li 2.73-2.99, 2 Al 2.80
Ga (0.8232, 0.6321, 0.5000)  10 Li 2.73-2.99, 2 Al 2.80